# Ac2Pr2Y7 | the Alexandria database | GGA-PBE | optimized geometry
data_Ac2Pr2Y7
_cell_length_a 6.269
_cell_length_b 8.845
_cell_length_c 8.845
_cell_angle_alpha 83.68
_cell_angle_beta 64.16
_cell_angle_gamma 64.16
_symmetry_space_group_name_H-M 'P 1'
_symmetry_Int_Tables_number 1
_symmetry_space_group_name_Hall 'P 1'
loop_
_atom_site_label
_atom_site_fract_x
_atom_site_fract_y
_atom_site_fract_z
Ac1 0.500 0.214 0.786
Ac2 0.500 0.786 0.214
Pr1 0.095 0.245 0.245
Pr2 0.905 0.755 0.755
Y1 0.179 0.065 0.595
Y2 0.821 0.405 0.935
Y3 0.821 0.935 0.405
Y4 0.179 0.595 0.065
Y5 0.000 0.000 0.000
Y6 0.617 0.599 0.599
Y7 0.383 0.401 0.401
# **E_form**: 1.9 eV/f.u.
# **D(E_F)**: 19.356 states/eV/cell

# Ac6PrY8 | the Alexandria database | GGA-PBE | optimized geometry
data_Ac6PrY8
_cell_length_a 9.387
_cell_length_b 9.387
_cell_length_c 9.157
_cell_angle_alpha 59.17
_cell_angle_beta 59.17
_cell_angle_gamma 60.00
_symmetry_space_group_name_H-M 'P 1'
_symmetry_Int_Tables_number 1
_symmetry_space_group_name_Hall 'P 1'
loop_
_atom_site_label
_atom_site_fract_x
_atom_site_fract_y
_atom_site_fract_z
Ac1 0.084 0.540 0.137
Ac2 0.760 0.916 0.863
Ac3 0.460 0.760 0.863
Ac4 0.540 0.240 0.137
Ac5 0.240 0.084 0.137
Ac6 0.916 0.460 0.863
Pr1 0.000 0.000 0.000
Y1 0.886 0.303 0.582
Y2 0.772 0.114 0.418
Y3 0.697 0.772 0.418
Y4 0.425 0.425 0.725
Y5 0.575 0.575 0.275
Y6 0.303 0.228 0.582
Y7 0.228 0.886 0.582
Y8 0.114 0.697 0.418
# **E_form**: 2.0 eV/f.u.
# **D(E_F)**: 23.438 states/eV/cell

# AcPr6Y | the Alexandria database | GGA-PBE | optimized geometry
data_AcPr6Y
_cell_length_a 6.963
_cell_length_b 6.908
_cell_length_c 7.017
_cell_angle_alpha 88.42
_cell_angle_beta 60.24
_cell_angle_gamma 86.02
_symmetry_space_group_name_H-M 'P 1'
_symmetry_Int_Tables_number 1
_symmetry_space_group_name_Hall 'P 1'
loop_
_atom_site_label
_atom_site_fract_x
_atom_site_fract_y
_atom_site_fract_z
Ac1 0.000 0.000 0.000
Pr1 0.083 0.735 0.474
Pr2 0.558 0.737 0.521
Pr3 0.442 0.263 0.479
Pr4 0.917 0.265 0.526
Pr5 0.543 0.751 0.998
Pr6 0.457 0.249 0.002
Y1 0.000 0.500 0.000
# **E_form**: 1.3 eV/f.u.
# **D(E_F)**: 12.561 states/eV/cell

Which formula does entry 1 have? Ac2Pr2Y7

Look up the D(E_F) of the first one. 19.356 states/eV/cell

D(E_F) of number 3 (AcPr6Y)? 12.561 states/eV/cell